No. 1
DFT (PBE) results for a relaxed AsPd2Ru crystal.

The calculation puts the total DFT energy (no corrections) at -23.45 eV per formula unit. For the formation energy, the calculation gives 0.21 eV per atom.

It has space group I-42d (No. 122), with a = 3.698 Å, b = 3.698 Å, c = 18.889 Å, α = 90.00°, β = 90.00° and γ = 90.00°. The asymmetric unit holds As at (0.000, 0.000, 0.000), Pd at (0.250, 0.250, 0.125) and Ru at (0.000, 0.000, 0.500).

No. 2
DFT (PBE) results for a relaxed NaTa2VBi crystal.

The calculation puts the total DFT energy (no corrections) at -27.41 eV per formula unit. For the formation energy, the calculation gives 2.12 eV per atom.

It has space group P4/mmm (No. 123), with a = 5.268 Å, b = 5.268 Å, c = 5.001 Å, α = 90.00°, β = 90.00° and γ = 90.00°. The asymmetric unit holds Na at (0.000, 0.000, 0.000), Ta at (0.000, 0.500, 0.500), V at (0.500, 0.500, 0.000) and Bi at (0.500, 0.500, 0.500).

No. 3
DFT (PBE) results for a relaxed Ca2Cd5Au12 crystal.

The calculation puts the total DFT energy (no corrections) at -53.55 eV per formula unit. For the formation energy, the calculation gives -0.30 eV per atom.

It has space group R-3m (No. 166, hexagonal axes), with a = 9.7932 Å, b = 9.7932 Å, c = 14.3825 Å, α = 90.00°, β = 90.00° and γ = 120.00°. The asymmetric unit holds Ca at (0.0000, 0.0000, 0.1428), Cd at (0.0000, 0.0000, 0.3988), Cd at (0.0000, 0.5000, 0.0000), Au at (0.0000, 0.3158, 0.5000) and Au at (0.0046, 0.5023, 0.6551).